Record 1
Entry from Alexandria via LeMat-Bulk: CsInIrO6 after structural relaxation (GGA-PBE).

Unit cell a=5.6073 b=5.6072 c=6.4666 alpha=90.00 beta=90.00 gamma=60.00
Atoms (fractional coordinates):
Cs 0.0000 0.0000 0.0000
In 0.6666 0.6667 0.5000
Ir 0.3333 0.3333 0.5000
O 0.0380 0.3873 0.3260
O 0.3873 0.0380 0.6739
O 0.5746 0.3873 0.6739
O 0.0380 0.5747 0.6739
O 0.3873 0.5747 0.3261
O 0.5747 0.0380 0.3261

Results
Formation energy from raw total energies, meV per atom: -909

---

Record 2
Entry from Alexandria via LeMat-Bulk: CsIn2IrPb after structural relaxation (GGA-PBE).

Unit cell a=5.2959 b=5.2959 c=5.5718 alpha=90.00 beta=90.00 gamma=90.00
Atoms (fractional coordinates):
Pb 0.0000 0.0000 0.5000
Cs 0.5000 0.5000 0.5000
Ir 0.0000 0.0000 0.0000
In 0.0000 0.5000 0.0000
In 0.5000 0.0000 0.0000

Results
Calculated formation energy, meV/atom: 14

---

Record 3
Entry from Alexandria via LeMat-Bulk: CsRbIn2Ir after structural relaxation (GGA-PBE).

Unit cell a=5.2860 b=5.2860 c=6.4589 alpha=90.00 beta=90.00 gamma=90.00
Atoms (fractional coordinates):
Cs 0.5000 0.5000 0.5000
Ir 0.0000 0.0000 0.0000
Rb 0.0000 0.0000 0.5000
In 0.0000 0.5000 0.0000
In 0.5000 0.0000 0.0000

Results
Calculated formation energy, meV/atom: 30

---

Record 4
Entry from Alexandria via LeMat-Bulk: Cs2RbInIr after structural relaxation (GGA-PBE).

Unit cell a=6.9991 b=6.9991 c=5.2878 alpha=90.00 beta=90.00 gamma=90.00
Atoms (fractional coordinates):
Cs 0.0000 0.5000 0.0000
Cs 0.5000 0.0000 0.0000
Ir 0.0000 0.0000 0.5000
Rb 0.0000 0.0000 0.0000
In 0.5000 0.5000 0.5000

Results
Calculated formation energy, meV/atom: 1037

---

Record 5
Entry from Alexandria via LeMat-Bulk: CsSrIn2Ir after structural relaxation (GGA-PBE).

Unit cell a=5.3438 b=5.3438 c=5.8422 alpha=90.00 beta=90.00 gamma=90.00
Atoms (fractional coordinates):
Cs 0.5000 0.5000 0.5000
Sr 0.0000 0.0000 0.5000
Ir 0.0000 0.0000 0.0000
In 0.0000 0.5000 0.0000
In 0.5000 0.0000 0.0000

Results
Calculated formation energy, meV/atom: -163

---

Record 6
Entry from Alexandria via LeMat-Bulk: CsYIn2Ir after structural relaxation (GGA-PBE).

Unit cell a=5.9060 b=5.0783 c=5.9060 alpha=90.00 beta=90.00 gamma=90.00
Atoms (fractional coordinates):
Cs 0.0000 0.0000 0.0000
Y 0.5000 0.5000 0.5000
Ir 0.0000 0.5000 0.0000
In 0.0000 0.0000 0.5000
In 0.5000 0.0000 0.0000

Results
Calculated formation energy, meV/atom: 1441